RbBiMo: relaxed, PBE.

Values from the calculation:
Symmetry ... F-43m, No. 216
Theoretical density ... 6.2 g/cm³
Total magnetic moment ... 4.00 μB per cell
Offset from the most stable computed form ... 0 meV per atom

a b c (Å): 5.290 5.290 5.290
angles (deg): 60.00 60.00 60.00
Fractional positions:
Bi: 0.250 0.250 0.250
Mo: 0.000 0.000 0.000
Rb: 0.750 0.750 0.750

---

RbBiMo: relaxed, PBE.

Values from the calculation:
Symmetry ... F-43m, No. 216
Theoretical density ... 5.6 g/cm³
Total magnetic moment ... 4.00 μB per cell
Offset from the most stable computed form ... 619 meV per atom

a b c (Å): 5.475 5.475 5.475
angles (deg): 60.00 60.00 60.00
Fractional positions:
Bi: 0.250 0.250 0.250
Mo: 0.750 0.750 0.750
Rb: 0.000 0.000 0.000